The following is a PBE calculation of a relaxed structure of Cs4K16Au3, from Alexandria via LeMat-Bulk.

- space group = P4/mmm (123)
- energy of formation from the pure elements (eV/atom) = -0.049

Cell: 8.9818 8.9818 18.5337 Å, 90.00 90.00 90.00°
Fractional positions:
Cs (0.0000, 0.5000, 0.2016)
Cs (0.0000, 0.5000, 0.7984)
Cs (0.5000, 0.0000, 0.2016)
Cs (0.5000, 0.0000, 0.7984)
K (0.0000, 0.0000, 0.1832)
K (0.0000, 0.0000, 0.8168)
K (0.2484, 0.2484, 0.3989)
K (0.2484, 0.2484, 0.6011)
K (0.2484, 0.7516, 0.3989)
K (0.2484, 0.7516, 0.6011)
K (0.2577, 0.2577, 0.0000)
K (0.2577, 0.7423, 0.0000)
K (0.5000, 0.5000, 0.2013)
K (0.5000, 0.5000, 0.7987)
K (0.7423, 0.2577, 0.0000)
K (0.7423, 0.7423, 0.0000)
K (0.7516, 0.2484, 0.3989)
K (0.7516, 0.2484, 0.6011)
K (0.7516, 0.7516, 0.3989)
K (0.7516, 0.7516, 0.6011)
Au (0.0000, 0.0000, 0.0000)
Au (0.0000, 0.5000, 0.5000)
Au (0.5000, 0.0000, 0.5000)